Arrangement a

Na3Tl2Pd4: relaxed, PBE-GGA.

**Magnetic moment**: 0.0 μB/f.u.
**Density of states at the Fermi level**: 7.2 states/eV per cell

Cell and atoms, written as CIF:
```
data_Na3Tl2Pd4
_cell_length_a 9.3507
_cell_length_b 4.4915
_cell_length_c 10.1950
_cell_angle_alpha 90.00
_cell_angle_beta 116.74
_cell_angle_gamma 90.00
_symmetry_space_group_name_H-M 'C 1 2/m 1'
_symmetry_Int_Tables_number 12
_symmetry_space_group_name_Hall '-C 2y'
loop_
_atom_site_label
_atom_site_type_symbol
_atom_site_fract_x
_atom_site_fract_y
_atom_site_fract_z
_atom_site_occupancy
Na1 Na 0.0000 0.0000 0.0000 1
Na2 Na 0.2014 0.5000 0.5986 1
Tl1 Tl 0.0094 0.5000 0.7939 1
Pd1 Pd 0.0207 0.0000 0.6366 1
Pd2 Pd 0.2359 0.5000 0.0902 1
```


Arrangement b

Na3Tl2Pd4: relaxed, PBE-GGA.

**Magnetic moment**: 0.0 μB/f.u.
**Density of states at the Fermi level**: 5.6 states/eV per cell

Cell and atoms, written as CIF:
```
data_Na3Tl2Pd4
_cell_length_a 10.2371
_cell_length_b 4.6154
_cell_length_c 8.8335
_cell_angle_alpha 90.00
_cell_angle_beta 97.13
_cell_angle_gamma 90.00
_symmetry_space_group_name_H-M 'C 1 2/m 1'
_symmetry_Int_Tables_number 12
_symmetry_space_group_name_Hall '-C 2y'
loop_
_atom_site_label
_atom_site_type_symbol
_atom_site_fract_x
_atom_site_fract_y
_atom_site_fract_z
_atom_site_occupancy
Na1 Na 0.0000 0.0000 0.0000 1
Na2 Na 0.1309 0.5000 0.3939 1
Tl1 Tl 0.1762 0.5000 0.7672 1
Pd1 Pd 0.0779 0.0000 0.6332 1
Pd2 Pd 0.2376 0.5000 0.0863 1
```


The structure with the most favorable energy is arrangement b; the runner-up is 1.6 kJ/mol of atoms above it.


Arrangement a

Na4Tl4Pd: relaxed, PBE-GGA.

**Magnetic moment**: 0.0 μB/f.u.
**Density of states at the Fermi level**: 8.2 states/eV per cell

Cell and atoms, written as CIF:
```
data_Na4Tl4Pd
_cell_length_a 6.2444
_cell_length_b 6.2444
_cell_length_c 13.5992
_cell_angle_alpha 90.00
_cell_angle_beta 90.00
_cell_angle_gamma 90.00
_symmetry_space_group_name_H-M 'I -4 2 m'
_symmetry_Int_Tables_number 121
_symmetry_space_group_name_Hall 'I -4 2'
loop_
_atom_site_label
_atom_site_type_symbol
_atom_site_fract_x
_atom_site_fract_y
_atom_site_fract_z
_atom_site_occupancy
Na1 Na 0.0000 0.0000 0.1141 1
Na2 Na 0.0000 0.5000 0.0000 1
Tl1 Tl 0.1758 0.1758 0.6820 1
Pd1 Pd 0.0000 0.0000 0.5000 1
```


Arrangement b

Na4Tl4Pd: relaxed, PBE-GGA.

**Magnetic moment**: 0.0 μB/f.u.
**Density of states at the Fermi level**: 8.0 states/eV per cell

Cell and atoms, written as CIF:
```
data_Na4Tl4Pd
_cell_length_a 6.2105
_cell_length_b 6.2105
_cell_length_c 13.2761
_cell_angle_alpha 90.00
_cell_angle_beta 90.00
_cell_angle_gamma 90.00
_symmetry_space_group_name_H-M 'I -4 2 m'
_symmetry_Int_Tables_number 121
_symmetry_space_group_name_Hall 'I -4 2'
loop_
_atom_site_label
_atom_site_type_symbol
_atom_site_fract_x
_atom_site_fract_y
_atom_site_fract_z
_atom_site_occupancy
Na1 Na 0.2024 0.2024 0.4111 1
Tl1 Tl 0.2009 0.2009 0.1700 1
Pd1 Pd 0.0000 0.0000 0.0000 1
```


The structure with the most favorable energy is arrangement b; the runner-up is 9.0 kJ/mol of atoms above it.


Arrangement a

NaTl3Pd4: relaxed, PBE-GGA.

**Magnetic moment**: 0.0 μB/f.u.
**Density of states at the Fermi level**: 7.3 states/eV per cell

Cell and atoms, written as CIF:
```
data_NaTl3Pd4
_cell_length_a 14.5215
_cell_length_b 4.7065
_cell_length_c 4.7062
_cell_angle_alpha 90.00
_cell_angle_beta 108.80
_cell_angle_gamma 90.00
_symmetry_space_group_name_H-M 'C 1 2/m 1'
_symmetry_Int_Tables_number 12
_symmetry_space_group_name_Hall '-C 2y'
loop_
_atom_site_label
_atom_site_type_symbol
_atom_site_fract_x
_atom_site_fract_y
_atom_site_fract_z
_atom_site_occupancy
Na1 Na 0.0000 0.0000 0.0000 1
Tl1 Tl 0.0000 0.5000 0.5000 1
Tl2 Tl 0.2467 0.0000 0.2464 1
Pd1 Pd 0.1279 0.0000 0.6276 1
Pd2 Pd 0.1279 0.5000 0.1281 1
```


Arrangement b

NaTl3Pd4: relaxed, PBE-GGA.

**Magnetic moment**: 0.0 μB/f.u.
**Density of states at the Fermi level**: 6.6 states/eV per cell

Cell and atoms, written as CIF:
```
data_NaTl3Pd4
_cell_length_a 5.8481
_cell_length_b 11.7838
_cell_length_c 5.0103
_cell_angle_alpha 90.00
_cell_angle_beta 90.00
_cell_angle_gamma 90.00
_symmetry_space_group_name_H-M 'I m m 2'
_symmetry_Int_Tables_number 44
_symmetry_space_group_name_Hall 'I 2 -2'
loop_
_atom_site_label
_atom_site_type_symbol
_atom_site_fract_x
_atom_site_fract_y
_atom_site_fract_z
_atom_site_occupancy
Na1 Na 0.0000 0.0000 0.0000 1
Tl1 Tl 0.0000 0.2000 0.4984 1
Tl2 Tl 0.0000 0.5000 0.5005 1
Pd1 Pd 0.0000 0.2978 0.9984 1
Pd2 Pd 0.2409 0.5000 0.0004 1
```


The structure with the most favorable energy is arrangement a; the runner-up is 6.0 kJ/mol of atoms above it.